This record from the Alexandria database describes crystalline Mg8HgPd5 at its relaxed geometry. The functional is PBE.

Values from the calculation:
Energy of formation from the pure elements   -0.4726 eV/atom
Volume   18.50 Å³/atom

a b c (Å): 7.9536 7.9536 8.1870
angles (deg): 90.00 90.00 90.00
Space group I-4 (No. 82)
Inequivalent atoms, fractional coordinates:
Mg 0.0721 0.3246 0.0817 [8 per cell]
Mg 0.0861 0.1645 0.7265 [8 per cell]
Hg 0.0000 0.5000 0.7500 [2 per cell]
Pd 0.0000 0.0000 0.0000 [2 per cell]
Pd 0.1238 0.2270 0.4076 [8 per cell]